Entry 1:
A plane-wave DFT calculation with GGA-PBE was carried out for a relaxed structure of Co2HgW.

abc: 5.3633 5.3633 5.3633
angles: 150.26 130.64 58.69
Fractional positions:
W (0.2240, 0.7240, 0.5000)
Hg (0.5110, 0.5110, 0.0000)
Co (0.9890, 0.9890, 0.0000)
Co (0.7761, 0.2761, 0.5000)

Output
Energy = -0.232 Ha/atom
M_tot = 1.49 Bohr magnetons per cell

Entry 2:
A plane-wave DFT calculation with GGA-PBE was carried out for a relaxed structure of SrLa2Si.

abc: 6.2434 6.2434 6.2434
angles: 134.55 134.55 66.24
Fractional positions:
La (0.2500, 0.7500, 0.5000)
Sr (0.7500, 0.2500, 0.5000)
La (0.0000, 0.0000, 0.0000)
Si (0.5000, 0.5000, 0.0000)

Output
E_form (uncorrected) = -0.051 eV/atom
M_tot = 0.00 Bohr magnetons per cell

Entry 3:
A plane-wave DFT calculation with GGA-PBE was carried out for a relaxed structure of CeSmAgPd.

abc: 5.1624 5.1624 5.1624
angles: 60.00 60.00 60.00
Fractional positions:
Ag (0.2500, 0.2500, 0.2500)
Sm (0.5000, 0.5000, 0.5000)
Pd (0.7500, 0.7500, 0.7500)
Ce (0.0000, 0.0000, 0.0000)

Output
Energy = -0.187 Ha/atom
M_tot = 0.98 Bohr magnetons per cell

Entry 4:
A plane-wave DFT calculation with GGA-PBE was carried out for a relaxed structure of Si5Os4.

abc: 7.3042 7.3042 5.3078
angles: 90.00 90.00 120.00
Fractional positions:
Os (0.0000, 0.3877, 0.2500)
Si (0.3333, 0.6667, 0.5000)
Si (0.2870, 0.2870, 0.2500)
Os (0.0000, 0.0000, 0.0000)
Os (0.0000, 0.6123, 0.7500)
Si (0.6667, 0.3333, 0.5000)
Si (0.0000, 0.7130, 0.2500)
Si (0.2870, 0.0000, 0.7500)
Si (0.6667, 0.3333, 0.0000)
Os (0.3877, 0.3877, 0.7500)
Os (0.6123, 0.6123, 0.2500)
Os (0.0000, 0.0000, 0.5000)
Si (0.3333, 0.6667, 0.0000)
Si (0.7130, 0.7130, 0.7500)
Os (0.3877, 0.0000, 0.2500)
Si (0.0000, 0.2870, 0.7500)
Si (0.7130, 0.0000, 0.2500)
Os (0.6123, 0.0000, 0.7500)

Output
E_form (uncorrected) = 0.086 eV/atom
Energy above the most stable polymorph in this dataset = 0 meV per atom
M_tot = 0.00 Bohr magnetons per cell

- Which formula does entry 2 have?
  SrLa2Si